Ba3Sr2Ca5 | PBE-GGA | relaxed

Computed properties:
E_form, eV per atom: 0.246
Calculated total energy, eV/cell: -66.7

abc: 11.474 15.742 12.795
angles: 90.00 90.00 90.00
Space group Ibam (No. 72)
Unique sites:
1 Ba 0.000 0.000 0.250
2 Ba 0.238 0.123 0.000
3 Sr 0.108 0.140 0.500
4 Ca 0.000 0.261 0.250
5 Ca 0.000 0.500 0.250
6 Ca 0.069 0.381 0.000